No. 1
VASP calculation (PBEsol) on a geometry-optimized CsHfI2N structure.

Structure (extended XYZ):
```
5
Lattice="5.4938 0.0000 0.0000 0.0000 5.4938 0.0000 0.0000 0.0000 8.1079" Properties=species:S:1:pos:R:3 pbc="T T T"
Cs 0.0000 0.0000 4.0539
I 0.0000 2.7469 0.0000
I 2.7469 0.0000 0.0000
Hf 0.0000 0.0000 0.0000
N 2.7469 2.7469 4.0539
```

Values from the calculation:
**Space-group type**: P4/mmm



No. 2
VASP calculation (PBEsol) on a geometry-optimized KBa2Mo structure.

Structure (extended XYZ):
```
4
Lattice="-1.2874 -3.3485 1.0561 4.2634 -0.6968 2.9882 -6.5315 4.3121 5.7099" Properties=species:S:1:pos:R:3 pbc="T T T"
Ba -1.9662 3.1470 7.5811
Ba 0.3898 -1.2302 3.1960
K -2.6674 2.2065 3.7444
Mo -4.8455 1.9148 6.7856
```

Values from the calculation:
**DFT formation energy**: 4.27 eV/f.u.
**Space-group type**: Amm2
**ΔE to the lowest computed polymorph**: 21 meV per atom



No. 3
VASP calculation (PBEsol) on a geometry-optimized TaCoBr structure.

Structure (extended XYZ):
```
3
Lattice="2.8927 0.0000 0.0000 0.0000 4.2316 0.0000 0.0000 -2.1158 3.6647" Properties=species:S:1:pos:R:3 pbc="T T T"
Co 2.4126 0.0000 2.4431
Br 2.4101 0.0000 0.0000
Ta 0.9627 2.1158 1.2216
```

Values from the calculation:
**Space-group type**: P-6m2



No. 4
VASP calculation (PBEsol) on a geometry-optimized BaBr2 structure.

Structure (extended XYZ):
```
6
Lattice="-3.8222 2.1797 1.7263 2.5133 -3.8884 4.0035 4.3599 5.5464 2.6499" Properties=species:S:1:pos:R:3 pbc="T T T"
Ba 4.2573 4.6045 3.6120
Ba 0.4943 1.3967 5.8014
Br 3.7131 1.2713 6.6157
Br -0.9422 2.2102 1.5939
Br 2.4250 1.7167 3.2015
Br -1.5262 -0.6168 3.8702
```

Values from the calculation:
**Space-group type**: Cmc2_1



No. 5
VASP calculation (PBEsol) on a geometry-optimized AlRu4 structure.

Structure (extended XYZ):
```
5
Lattice="3.7559 0.0000 0.0000 1.8779 4.2340 0.0000 1.8779 0.0000 4.2340" Properties=species:S:1:pos:R:3 pbc="T T T"
Al 0.0000 0.0000 0.0000
Ru 3.7559 0.8690 2.5169
Ru 5.6338 2.5169 3.3650
Ru 3.7559 3.3650 1.7171
Ru 1.8779 1.7171 0.8690
```

Values from the calculation:
**DFT formation energy**: -0.32 eV/f.u.
**Space-group type**: I4/m



No. 6
VASP calculation (PBEsol) on a geometry-optimized SrCo2Cu structure.

Structure (extended XYZ):
```
4
Lattice="-1.6517 1.3119 -1.8289 -2.7664 -3.9724 -0.3511 -1.4865 3.0123 3.5032" Properties=species:S:1:pos:R:3 pbc="T T T"
Sr -2.9523 0.1759 0.6616
Co -1.3832 -1.9862 -0.1755
Co -0.7432 1.5062 1.7516
Cu -0.8259 0.6560 -0.9145
```

Values from the calculation:
**DFT formation energy**: 3.49 eV/f.u.
**Space-group type**: Cmmm
**ΔE to the lowest computed polymorph**: 719 meV per atom



Calculated total moment (μB per formula unit), listed in the same order as above: 4.37 1.90 0.09 0.00 0.00 2.43
Calculated final energy (eV/atom), listed in the same order as above: -3.856 -3.232 -6.793 -4.109 -9.019 -4.539